1.
# GGA-PBEsol Li2HgMoAs, relaxed
data_Li2HgMoAs
_cell_length_a 4.4272
_cell_length_b 4.4272
_cell_length_c 4.7539
_cell_angle_alpha 90.00
_cell_angle_beta 90.00
_cell_angle_gamma 90.00
_symmetry_space_group_name_H-M 'P 4/m m m'
_symmetry_Int_Tables_number 123
_symmetry_space_group_name_Hall '-P 4 2'
loop_
_atom_site_label
_atom_site_type_symbol
_atom_site_fract_x
_atom_site_fract_y
_atom_site_fract_z
_atom_site_occupancy
Li1 Li 0.0000 0.5000 0.0000 1
Hg1 Hg 0.0000 0.0000 0.5000 1
Mo1 Mo 0.5000 0.5000 0.5000 1
As1 As 0.5000 0.5000 0.0000 1
# Size of the total moment (μB/cell): 0.00
# Calculated formation energy (eV/f.u.): 1.0

2.
# GGA-PBEsol AlRu2Rh, relaxed
data_AlRu2Rh
_cell_length_a 2.8362
_cell_length_b 4.3269
_cell_length_c 4.4183
_cell_angle_alpha 90.00
_cell_angle_beta 90.00
_cell_angle_gamma 90.00
_symmetry_space_group_name_H-M 'P m m m'
_symmetry_Int_Tables_number 47
_symmetry_space_group_name_Hall '-P 2 2'
loop_
_atom_site_label
_atom_site_type_symbol
_atom_site_fract_x
_atom_site_fract_y
_atom_site_fract_z
_atom_site_occupancy
Al1 Al 0.0000 0.0000 0.0000 1
Ru1 Ru 0.0000 0.5000 0.5000 1
Ru2 Ru 0.5000 0.0000 0.5000 1
Rh1 Rh 0.5000 0.5000 0.0000 1
# Size of the total moment (μB/cell): 0.76
# Calculated formation energy (eV/f.u.): -0.5

3.
# GGA-PBEsol FeCoI2O, relaxed
data_FeCoI2O
_cell_length_a 5.2606
_cell_length_b 5.2606
_cell_length_c 3.4591
_cell_angle_alpha 90.00
_cell_angle_beta 90.00
_cell_angle_gamma 90.00
_symmetry_space_group_name_H-M 'P 4/m m m'
_symmetry_Int_Tables_number 123
_symmetry_space_group_name_Hall '-P 4 2'
loop_
_atom_site_label
_atom_site_type_symbol
_atom_site_fract_x
_atom_site_fract_y
_atom_site_fract_z
_atom_site_occupancy
Fe1 Fe 0.0000 0.0000 0.0000 1
Co1 Co 0.5000 0.5000 0.5000 1
I1 I 0.0000 0.5000 0.5000 1
O1 O 0.5000 0.5000 0.0000 1
# Formation energy from raw total energies (eV per formula unit): 1.12
# Size of the total moment (μB/cell): 3.48

4.
# GGA-PBEsol LaGe2As2, relaxed
data_LaGe2As2
_cell_length_a 4.0311
_cell_length_b 4.0311
_cell_length_c 13.7544
_cell_angle_alpha 90.00
_cell_angle_beta 90.00
_cell_angle_gamma 90.00
_symmetry_space_group_name_H-M 'I 4/m m m'
_symmetry_Int_Tables_number 139
_symmetry_space_group_name_Hall '-I 4 2'
loop_
_atom_site_label
_atom_site_type_symbol
_atom_site_fract_x
_atom_site_fract_y
_atom_site_fract_z
_atom_site_occupancy
La1 La 0.0000 0.0000 0.0000 1
Ge1 Ge 0.0000 0.5000 0.2500 1
As1 As 0.0000 0.0000 0.4078 1
# Size of the total moment (μB/cell): 0.00
# Calculated formation energy (eV/f.u.): -2.0

5.
# GGA-PBEsol Pr2Mn4Co13, relaxed
data_Pr2Mn4Co13
_cell_length_a 8.2513
_cell_length_b 8.2513
_cell_length_c 11.8952
_cell_angle_alpha 90.00
_cell_angle_beta 90.00
_cell_angle_gamma 120.00
_symmetry_space_group_name_H-M 'R 3 m'
_symmetry_Int_Tables_number 160
_symmetry_space_group_name_Hall 'R 3 -2"'
loop_
_atom_site_label
_atom_site_type_symbol
_atom_site_fract_x
_atom_site_fract_y
_atom_site_fract_z
_atom_site_occupancy
Pr1 Pr 0.0000 0.0000 0.0000 1
Pr2 Pr 0.0000 0.0000 0.2995 1
Mn1 Mn 0.0000 0.0000 0.5538 1
Mn2 Mn 0.1692 0.3384 0.4833 1
Co1 Co 0.0000 0.0000 0.7489 1
Co2 Co 0.0006 0.2852 0.6505 1
Co3 Co 0.0119 0.5060 0.4981 1
Co4 Co 0.1740 0.3481 0.1348 1
# Size of the total moment (μB/cell): 52.41
# Calculated formation energy (eV/f.u.): 0.7

6.
# GGA-PBEsol YAlCuCl2, relaxed
data_YAlCuCl2
_cell_length_a 4.5666
_cell_length_b 4.5666
_cell_length_c 5.5880
_cell_angle_alpha 90.00
_cell_angle_beta 90.00
_cell_angle_gamma 90.00
_symmetry_space_group_name_H-M 'P 4/m m m'
_symmetry_Int_Tables_number 123
_symmetry_space_group_name_Hall '-P 4 2'
loop_
_atom_site_label
_atom_site_type_symbol
_atom_site_fract_x
_atom_site_fract_y
_atom_site_fract_z
_atom_site_occupancy
Y1 Y 0.0000 0.0000 0.0000 1
Al1 Al 0.5000 0.5000 0.0000 1
Cu1 Cu 0.0000 0.0000 0.5000 1
Cl1 Cl 0.0000 0.5000 0.5000 1
# Formation energy from raw total energies (eV per formula unit): -0.23
# Size of the total moment (μB/cell): 0.00

Short version: V = 93.2, 54.2, 95.7, 111.8, 233.8, 116.5 Å³/f.u., in the order given.